Below is a geometry-optimized La2AlBrF structure, with properties calculated at the PBE level.

Lattice parameters (Å, degrees): 5.679 5.679 4.816 90.00 90.00 90.00
Sites, in units of the cell vectors:
La  0.000  0.500  0.000
La  0.500  0.000  0.000
Al  0.000  0.000  0.500
Br  0.500  0.500  0.000
F  0.500  0.500  0.500

## Properties
Formation energy (no corrections) = -0.638 eV per atom
Crystal system = tetragonal
E_tot = -4.07 eV per atom
DOS(E_F) = 1.706 states/eV/atom

Below is a geometry-optimized V2Sb2C structure, with properties calculated at the PBE level.

Lattice parameters (Å, degrees): 6.804 6.804 3.876 90.00 90.00 90.00
Sites, in units of the cell vectors:
V  0.127  0.373  0.000
V  0.373  0.873  0.000
V  0.627  0.127  0.000
V  0.873  0.627  0.000
Sb  0.171  0.671  0.500
Sb  0.329  0.171  0.500
Sb  0.671  0.829  0.500
Sb  0.829  0.329  0.500
C  0.000  0.000  0.500
C  0.500  0.500  0.500

## Properties
Energy above the lowest structure with this stoichiometry = 0 meV per atom
Formation energy (no corrections) = 1.185 eV per atom
Crystal system = tetragonal
E_tot = -5.96 eV per atom
DOS(E_F) = 0.783 states/eV/atom

Below is a geometry-optimized LaRhSe2 structure, with properties calculated at the PBE level.

Lattice parameters (Å, degrees): 4.779 4.779 3.677 90.00 90.00 90.00
Sites, in units of the cell vectors:
La  0.000  0.000  0.000
Rh  0.500  0.500  0.000
Se  0.000  0.500  0.500
Se  0.500  0.000  0.500

## Properties
Energy above the lowest structure with this stoichiometry = 202 meV per atom
Formation energy (no corrections) = -0.938 eV per atom
Crystal system = tetragonal
E_tot = -5.75 eV per atom
DOS(E_F) = 0.466 states/eV/atom

Below is a geometry-optimized Mg16Zn12Rh structure, with properties calculated at the PBE level.

Lattice parameters (Å, degrees): 8.687 8.687 8.756 108.65 108.65 107.53
Sites, in units of the cell vectors:
Mg  0.000  0.000  0.000
Mg  0.003  0.402  0.982
Mg  0.088  0.710  0.346
Mg  0.095  0.330  0.650
Mg  0.291  0.291  0.982
Mg  0.295  0.996  0.274
Mg  0.323  0.682  0.663
Mg  0.330  0.095  0.650
Mg  0.370  0.687  0.074
Mg  0.402  0.003  0.982
Mg  0.682  0.323  0.663
Mg  0.682  0.682  0.654
Mg  0.687  0.370  0.074
Mg  0.710  0.088  0.346
Mg  0.737  0.737  0.330
Mg  0.996  0.295  0.274
Zn  0.049  0.664  0.843
Zn  0.054  0.869  0.677
Zn  0.331  0.331  0.489
Zn  0.339  0.534  0.315
Zn  0.496  0.496  0.846
Zn  0.507  0.884  0.483
Zn  0.534  0.339  0.315
Zn  0.664  0.049  0.843
Zn  0.675  0.860  0.024
Zn  0.860  0.675  0.024
Zn  0.869  0.054  0.677
Zn  0.884  0.507  0.483
Rh  0.010  0.010  0.332

## Properties
ΔH_f (0 K) = -11.5 kJ/mol of atoms
Crystal system = monoclinic
E_tot = -1.78 eV per atom
DOS(E_F) = 0.294 states/eV/atom

Below is a geometry-optimized MgAlRe2 structure, with properties calculated at the PBE level.

Lattice parameters (Å, degrees): 5.164 5.164 2.699 99.75 99.75 116.58
Sites, in units of the cell vectors:
Mg  0.000  0.000  0.000
Al  0.500  0.500  0.000
Re  0.000  0.500  0.500
Re  0.500  0.000  0.500

## Properties
Energy above the lowest structure with this stoichiometry = 211 meV per atom
ΔH_f (0 K) = 13.0 kJ/mol of atoms
Crystal system = monoclinic
E_tot = -7.42 eV per atom
DOS(E_F) = 0.479 states/eV/atom

Below is a geometry-optimized Cs2KLiBi structure, with properties calculated at the PBE level.

Lattice parameters (Å, degrees): 7.149 7.149 5.291 90.00 90.00 90.00
Sites, in units of the cell vectors:
Cs  0.000  0.500  0.000
Cs  0.500  0.000  0.000
K  0.000  0.000  0.500
Li  0.500  0.500  0.000
Bi  0.500  0.500  0.500

## Properties
Energy above the lowest structure with this stoichiometry = 0 meV per atom
ΔH_f (0 K) = -17.9 kJ/mol of atoms
Crystal system = tetragonal
E_tot = -1.91 eV per atom
DOS(E_F) = 0.344 states/eV/atom